The following is a DFT calculation (PBE-GGA) of a relaxed structure of Sm7Mg2Ga2.

Computed properties:
Magnetization   0.00 μB/f.u.
D(E_F)   27.288 states/eV per cell
Energy relative to the elements   1.8 kcal/mol of atoms

a b c (Å): 7.478 10.610 8.593
angles (deg): 90.00 90.00 90.00
Space group Cmmm (No. 65)
One atom of each set of equivalent atoms:
Sm (0.000, 0.000, 0.000) x2
Sm (0.000, 0.500, 0.299) x4
Sm (0.250, 0.250, 0.300) x8
Mg (0.000, 0.321, 0.000) x4
Ga (0.167, 0.000, 0.500) x4